## Ca2CrPbI (PBE-GGA)

Data for a geometry-optimized Ca2CrPbI structure.

Cell lengths 5.8069, 5.8069, 6.0401 Å; angles 90.00, 90.00, 90.00 degrees
With the nearest neighbours (Å) after each atom.
Space group P4/mmm (No. 123)
Asymmetric unit:
1 Ca 0.0000 0.5000 0.0000  2 I 2.90
2 Cr 0.0000 0.0000 0.5000  4 Pb 4.11, 8 Ca 4.19
3 Pb 0.5000 0.5000 0.5000  2 I 3.02
4 I 0.5000 0.5000 0.0000  4 Ca 2.90, 2 Pb 3.02

Properties
**Uncorrected formation energy**: 520 meV per atom
**Total moment**: 5.0 Bohr magnetons per cell



## RbCaCr2I8 (PBE-GGA)

Data for a geometry-optimized RbCaCr2I8 structure.

Cell lengths 7.6128, 7.6128, 31.3717 Å; angles 90.00, 90.00, 120.00 degrees
With the nearest neighbours (Å) after each atom.
Space group R-3 (No. 148, hexagonal axes)
Asymmetric unit:
1 Rb 0.0000 0.0000 0.0000  12 I 4.16-4.40
2 Ca 0.0000 0.0000 0.5000  6 I 3.16
3 Cr 0.0000 0.0000 0.2439  4 I 2.58-2.67
4 I 0.0000 0.0000 0.3262  1 Cr 2.58
5 I 0.0054 0.3257 0.1068  1 Cr 2.67

Properties
**Uncorrected formation energy**: -718 meV per atom
**Total moment**: 21.0 Bohr magnetons per cell



## Rb2CaCrI6 (PBE-GGA)

Data for a geometry-optimized Rb2CaCrI6 structure.

Cell lengths 11.9435, 11.9435, 11.9435 Å; angles 90.00, 90.00, 90.00 degrees
With the nearest neighbours (Å) after each atom.
Space group Fm-3m (No. 225)
Asymmetric unit:
1 Rb 0.2500 0.2500 0.2500  12 I 4.22
2 Ca 0.0000 0.0000 0.0000  6 I 3.11
3 Cr 0.0000 0.0000 0.5000  6 I 2.87
4 I 0.0000 0.0000 0.2600  1 Cr 2.87, 1 Ca 3.11

Properties
**Uncorrected formation energy**: -1103 meV per atom
**Total moment**: 16.0 Bohr magnetons per cell



## CaCrSbI2 (PBE-GGA)

Data for a geometry-optimized CaCrSbI2 structure.

Cell lengths 5.5246, 5.5246, 5.4319 Å; angles 90.00, 90.00, 90.00 degrees
With the nearest neighbours (Å) after each atom.
Space group P4/mmm (No. 123)
Asymmetric unit:
1 Ca 0.0000 0.0000 0.0000  8 I 3.87, 4 Sb 3.91
2 Cr 0.5000 0.5000 0.5000  2 Sb 2.72, 4 I 2.76
3 Sb 0.5000 0.5000 0.0000  2 Cr 2.72
4 I 0.0000 0.5000 0.5000  2 Cr 2.76

Properties
**Uncorrected formation energy**: -202 meV per atom
**Total moment**: 3.0 Bohr magnetons per cell



## SrCaCr2I (PBE-GGA)

Data for a geometry-optimized SrCaCr2I structure.

Cell lengths 5.6200, 5.6200, 7.4533 Å; angles 90.00, 90.00, 90.00 degrees
With the nearest neighbours (Å) after each atom.
Space group P4/mmm (No. 123)
Asymmetric unit:
1 Sr 0.0000 0.0000 0.0000  2 Ca 3.73, 4 I 3.97
2 Ca 0.0000 0.0000 0.5000  4 Cr 2.81
3 Cr 0.0000 0.5000 0.5000  2 Ca 2.81
4 I 0.5000 0.5000 0.0000  4 Sr 3.97

Properties
**Uncorrected formation energy**: 1115 meV per atom
**Total moment**: 9.8 Bohr magnetons per cell



## CaCrTe2I (PBE-GGA)

Data for a geometry-optimized CaCrTe2I structure.

Cell lengths 5.3776, 5.3776, 5.5042 Å; angles 90.00, 90.00, 90.00 degrees
With the nearest neighbours (Å) after each atom.
Space group P4/mmm (No. 123)
Asymmetric unit:
1 Ca 0.0000 0.0000 0.0000  4 I 3.80, 8 Te 3.85
2 Cr 0.5000 0.5000 0.5000  4 Te 2.69, 2 I 2.75
3 Te 0.0000 0.5000 0.5000  2 Cr 2.69
4 I 0.5000 0.5000 0.0000  2 Cr 2.75

Properties
**Uncorrected formation energy**: -400 meV per atom
**Offset from the most stable computed form**: 0 meV/atom
**Total moment**: 3.5 Bohr magnetons per cell



## CaCrTe2I (PBE-GGA)

Data for a geometry-optimized CaCrTe2I structure.

Cell lengths 5.9196, 5.9196, 5.9271 Å; angles 90.00, 90.00, 90.00 degrees
With the nearest neighbours (Å) after each atom.
Space group P4/mmm (No. 123)
Asymmetric unit:
1 Ca 0.0000 0.0000 0.0000  4 Te 2.96, 2 I 2.96
2 Cr 0.5000 0.5000 0.5000  4 I 4.19, 8 Te 4.19
3 Te 0.0000 0.5000 0.0000  2 Ca 2.96
4 I 0.0000 0.0000 0.5000  2 Ca 2.96

Properties
**Uncorrected formation energy**: 217 meV per atom
**Offset from the most stable computed form**: 617 meV/atom
**Total moment**: 3.5 Bohr magnetons per cell



## CaYCrI2 (PBE-GGA)

Data for a geometry-optimized CaYCrI2 structure.

Cell lengths 5.7809, 5.7809, 6.1473 Å; angles 90.00, 90.00, 90.00 degrees
With the nearest neighbours (Å) after each atom.
Space group P4/mmm (No. 123)
Asymmetric unit:
1 Ca 0.0000 0.0000 0.0000  4 I 2.89, 2 Cr 3.07
2 Y 0.5000 0.5000 0.5000  4 Cr 4.09, 8 I 4.22
3 Cr 0.0000 0.0000 0.5000  2 Ca 3.07
4 I 0.0000 0.5000 0.0000  2 Ca 2.89

Properties
**Uncorrected formation energy**: 338 meV per atom
**Total moment**: 5.1 Bohr magnetons per cell